# 1
{
  "formula": "BaAlBr",
  "functional": "PBEsol",
  "state": "relaxed",
  "lattice": [[-3.826, -1.923, 1.190], [1.603, -0.659, 4.092], [-0.752, 5.910, -1.167]],
  "species": ["Ba", "Br", "Al"],
  "frac_coords": [[0.311, 0.311, 0.622], [0.715, 0.715, 0.431], [0.974, 0.974, 0.948]],
  "e_form_raw_ev_per_atom": -0.5119,
  "volume_a3_per_atom": 34.19,
  "polymorph_energy_mev_per_atom": 0.0
}

---

# 2
{
  "formula": "BaAlBr2",
  "functional": "PBEsol",
  "state": "relaxed",
  "lattice": [[4.366, 0.000, 0.000], [0.000, 5.125, 0.000], [0.000, 0.000, 5.125]],
  "species": ["Ba", "Br", "Br", "Al"],
  "frac_coords": [[0.500, 0.000, 0.000], [0.000, 0.000, 0.500], [0.000, 0.500, 0.000], [0.500, 0.500, 0.500]],
  "e_form_raw_ev_per_atom": -0.9878,
  "volume_a3_per_atom": 28.67,
  "polymorph_energy_mev_per_atom": 0.0
}

---

# 3
{
  "formula": "BaCaAl4",
  "functional": "PBEsol",
  "state": "relaxed",
  "lattice": [[-4.398, -2.584, 2.760], [1.017, -4.537, 3.468], [-0.548, 0.562, 5.747]],
  "species": ["Ca", "Ba", "Al", "Al", "Al", "Al"],
  "frac_coords": [[0.000, 0.000, 0.000], [0.750, 0.750, 0.750], [0.375, 0.375, 0.375], [0.375, 0.375, 0.876], [0.876, 0.375, 0.375], [0.375, 0.876, 0.375]],
  "volume_a3_per_atom": 23.00,
  "ef_ev_per_atom": -0.242
}